Record 1
DFT (PBE) results for La4Pm3Cd after structural relaxation.

Summary:
density	6.68	g cm⁻³
size of the total moment	0.000	μB/atom
E	-34.87	eV/cell

```
data_La4Pm3Cd
_space_group_name_H-M_alt 'P 4/m m m'
_space_group_IT_number 123
_space_group_name_Hall '-P 4 2'
_cell_length_a 4.2223
_cell_length_b 4.2223
_cell_length_c 15.3851
_cell_angle_alpha 90.00
_cell_angle_beta 90.00
_cell_angle_gamma 90.00
loop_
_atom_site_label
_atom_site_type_symbol
_atom_site_fract_x
_atom_site_fract_y
_atom_site_fract_z
La1 La 0.0000 0.0000 0.1127
La2 La 0.0000 0.0000 0.3817
Pm1 Pm 0.5000 0.5000 0.2525
Pm2 Pm 0.5000 0.5000 0.5000
Cd1 Cd 0.5000 0.5000 0.0000
```

---

Record 2
DFT (PBE) results for NbAlMo2Ru after structural relaxation.

Summary:
density	6.54	g cm⁻³
size of the total moment	0.000	μB/atom
E	-38.33	eV/cell

```
data_NbAlMo2Ru
_space_group_name_H-M_alt 'P 4/m m m'
_space_group_IT_number 123
_space_group_name_Hall '-P 4 2'
_cell_length_a 4.6904
_cell_length_b 4.6904
_cell_length_c 4.7620
_cell_angle_alpha 90.00
_cell_angle_beta 90.00
_cell_angle_gamma 90.00
loop_
_atom_site_label
_atom_site_type_symbol
_atom_site_fract_x
_atom_site_fract_y
_atom_site_fract_z
Nb1 Nb 0.0000 0.0000 0.0000
Al1 Al 0.5000 0.5000 0.0000
Mo1 Mo 0.0000 0.5000 0.5000
Ru1 Ru 0.0000 0.0000 0.5000
```

---

- Which of these has the lowest density?
  NbAlMo2Ru

---

- E of number 1 (La4Pm3Cd)?
  -34.87 eV/cell

---

- Number 1 is which compound?
  La4Pm3Cd